Below is a relaxed structure of LiIrPb2, with properties calculated at the GGA-PBE level.

Output
- DOS at the Fermi energy: 2.0 states/eV/f.u.
- Total moment: 0.000 μB/f.u.
- Total DFT energy (no corrections): -17.89 eV for the cell shown
- Symmetry: No. 99
- Distance to the lowest polymorph of the same formula: 0.047 eV per atom
- Calculated formation energy: 0.31 eV per formula unit

a b c (Å): 3.3327 3.3327 7.7102
angles (deg): 90.00 90.00 90.00
Last column: nearest neighbours and their distance in Å.
Fractional coordinates of all 4 atoms:
Li  0.0000  0.0000  0.0000  4 Ir 2.63, 1 Pb 2.91
Ir  0.5000  0.5000  0.8495  4 Li 2.63, 5 Pb 2.93
Pb  0.0000  0.0000  0.6231  1 Li 2.91, 4 Ir 2.93
Pb  0.5000  0.5000  0.2289  1 Ir 2.93, 4 Li 2.94



Below is a relaxed structure of LiIr2Pb, with properties calculated at the GGA-PBE level.

Output
- DOS at the Fermi energy: 5.2 states/eV/f.u.
- Total moment: 0.000 μB/f.u.
- Total DFT energy (no corrections): -84.19 eV for the cell shown
- Symmetry: No. 122
- Calculated formation energy: 2.30 eV per formula unit

a b c (Å): 7.4189 7.4189 5.0332
angles (deg): 90.00 90.00 90.00
Last column: nearest neighbours and their distance in Å.
Fractional coordinates of all 16 atoms:
Li  0.0000  0.0000  0.0000  4 Ir 2.48, 2 Pb 2.52
Li  0.0000  0.5000  0.2500  4 Ir 2.48, 2 Pb 2.52
Li  0.5000  0.0000  0.7500  4 Ir 2.48, 2 Pb 2.52
Li  0.5000  0.5000  0.5000  4 Ir 2.48, 2 Pb 2.52
Ir  0.2041  0.7500  0.1250  2 Li 2.48, 2 Ir 2.61
Ir  0.2500  0.2041  0.8750  2 Li 2.48, 2 Ir 2.61
Ir  0.2500  0.2959  0.3750  2 Li 2.48, 2 Ir 2.61
Ir  0.2959  0.7500  0.6250  2 Li 2.48, 2 Ir 2.61
Ir  0.7041  0.2500  0.6250  2 Li 2.48, 2 Ir 2.61
Ir  0.7500  0.7041  0.3750  2 Li 2.48, 2 Ir 2.61
Ir  0.7500  0.7959  0.8750  2 Li 2.48, 2 Ir 2.61
Ir  0.7959  0.2500  0.1250  2 Li 2.48, 2 Ir 2.61
Pb  0.0000  0.0000  0.5000  2 Li 2.52
Pb  0.0000  0.5000  0.7500  2 Li 2.52
Pb  0.5000  0.0000  0.2500  2 Li 2.52
Pb  0.5000  0.5000  0.0000  2 Li 2.52



Below is a relaxed structure of LiIrPb2, with properties calculated at the GGA-PBE level.

Output
- DOS at the Fermi energy: 2.3 states/eV/f.u.
- Total moment: 0.000 μB/f.u.
- Total DFT energy (no corrections): -35.03 eV for the cell shown
- Symmetry: No. 12
- Distance to the lowest polymorph of the same formula: 0.140 eV per atom
- Calculated formation energy: 0.68 eV per formula unit

a b c (Å): 6.5334 6.5345 3.8478
angles (deg): 90.00 90.22 90.00
Last column: nearest neighbours and their distance in Å.
Fractional coordinates of all 8 atoms:
Li  0.0000  0.0000  0.0000  8 Pb 3.00-3.01, 4 Ir 3.27
Li  0.5000  0.5000  0.0000  8 Pb 3.00-3.01, 4 Ir 3.27
Ir  0.0000  0.5000  0.0000  8 Pb 3.00-3.01, 4 Li 3.27
Ir  0.5000  0.0000  0.0000  8 Pb 3.00-3.01, 4 Li 3.27
Pb  0.2500  0.2500  0.5000  4 Li 3.00-3.01, 4 Ir 3.00-3.01, 4 Pb 3.27
Pb  0.2500  0.7500  0.5000  4 Li 3.00-3.01, 4 Ir 3.00-3.01, 4 Pb 3.27
Pb  0.7500  0.2500  0.5000  4 Li 3.00-3.01, 4 Ir 3.00-3.01, 4 Pb 3.27
Pb  0.7500  0.7500  0.5000  4 Li 3.00-3.01, 4 Ir 3.00-3.01, 4 Pb 3.27



Below is a relaxed structure of LiIrPb2, with properties calculated at the GGA-PBE level.

Output
- DOS at the Fermi energy: 2.6 states/eV/f.u.
- Total moment: 0.000 μB/f.u.
- Total DFT energy (no corrections): -72.29 eV for the cell shown
- Symmetry: No. 225
- Distance to the lowest polymorph of the same formula: 0.000 eV per atom
- Calculated formation energy: 0.12 eV per formula unit

a b c (Å): 6.8498 6.8498 6.8498
angles (deg): 90.00 90.00 90.00
Last column: nearest neighbours and their distance in Å.
Fractional coordinates of all 16 atoms:
Li  0.0000  0.0000  0.0000  8 Pb 2.97
Li  0.0000  0.5000  0.5000  8 Pb 2.97
Li  0.5000  0.0000  0.5000  8 Pb 2.97
Li  0.5000  0.5000  0.0000  8 Pb 2.97
Ir  0.0000  0.0000  0.5000  8 Pb 2.97
Ir  0.0000  0.5000  0.0000  8 Pb 2.97
Ir  0.5000  0.0000  0.0000  8 Pb 2.97
Ir  0.5000  0.5000  0.5000  8 Pb 2.97
Pb  0.2500  0.2500  0.2500  4 Li 2.97, 4 Ir 2.97
Pb  0.2500  0.2500  0.7500  4 Ir 2.97, 4 Li 2.97
Pb  0.2500  0.7500  0.2500  4 Ir 2.97, 4 Li 2.97
Pb  0.2500  0.7500  0.7500  4 Li 2.97, 4 Ir 2.97
Pb  0.7500  0.2500  0.2500  4 Ir 2.97, 4 Li 2.97
Pb  0.7500  0.2500  0.7500  4 Li 2.97, 4 Ir 2.97
Pb  0.7500  0.7500  0.2500  4 Li 2.97, 4 Ir 2.97
Pb  0.7500  0.7500  0.7500  4 Ir 2.97, 4 Li 2.97